Record 1
A plane-wave DFT calculation with PBE was carried out for K2SbCl after structural relaxation.

Cell and atoms, written as POSCAR:
```
K2SbCl
1.0
10.078 0.012 -0.009
8.694 5.098 0.009
-9.375 -2.595 2.635
K Cl Sb
2 1 1
Direct
0.784 0.284 0.500
0.074 0.074 0.000
0.200 0.700 0.500
0.443 0.443 0.000
```

Calculated values
- Raw total energy: -12.06 eV for the cell shown
- Uncorrected formation energy: -0.974 eV per atom
- Space-group type: Imm2
- Density of states at the Fermi level: 1.30 states/eV per cell


Record 2
A plane-wave DFT calculation with PBE was carried out for KSb2Cl after structural relaxation.

Cell and atoms, written as POSCAR:
```
KSb2Cl
1.0
-1.934 2.047 8.561
-6.839 2.338 5.383
3.867 -5.016 -6.411
Cl Sb K
1 2 1
Direct
0.750 0.250 0.500
0.974 0.974 0.000
0.526 0.526 0.000
0.250 0.750 0.500
```

Calculated values
- Raw total energy: -13.83 eV for the cell shown
- Uncorrected formation energy: -0.660 eV per atom
- Space-group type: Immm
- Density of states at the Fermi level: 1.89 states/eV per cell


Record 3
A plane-wave DFT calculation with PBE was carried out for KSb4Cl after structural relaxation.

Cell and atoms, written as POSCAR:
```
KSb4Cl
1.0
0.000 4.725 4.725
4.725 0.000 4.725
4.725 4.725 0.000
Sb K Cl
4 1 1
Direct
0.822 0.393 0.393
0.393 0.822 0.393
0.393 0.393 0.822
0.393 0.393 0.393
0.000 0.000 0.000
0.750 0.750 0.750
```

Calculated values
- Raw total energy: -21.22 eV for the cell shown
- Uncorrected formation energy: -0.297 eV per atom
- Space-group type: F-43m


Record 4
A plane-wave DFT calculation with PBE was carried out for KSb2Cl after structural relaxation.

Cell and atoms, written as POSCAR:
```
KSb2Cl
1.0
7.926 -0.024 -1.176
6.864 3.964 -1.176
-0.392 -0.104 4.626
Cl K Sb
1 1 2
Direct
0.750 0.750 0.750
0.250 0.250 0.250
0.978 0.978 0.039
0.522 0.522 0.461
```

Calculated values
- Raw total energy: -13.88 eV for the cell shown
- Uncorrected formation energy: -0.672 eV per atom
- Space-group type: C2/m
- Density of states at the Fermi level: 1.52 states/eV per cell


Record 5
A plane-wave DFT calculation with PBE was carried out for KSbCl2 after structural relaxation.

Cell and atoms, written as POSCAR:
```
KSbCl2
1.0
-0.065 -0.284 -4.358
-3.856 -2.043 0.188
-2.958 5.554 -0.319
Cl Sb K
2 1 1
Direct
0.500 0.500 0.375
0.000 0.000 0.875
0.500 0.500 0.875
0.000 0.000 0.375
```

Calculated values
- Raw total energy: -12.11 eV for the cell shown
- Uncorrected formation energy: -0.799 eV per atom
- Space-group type: P4/mmm
- Density of states at the Fermi level: 1.24 states/eV per cell


Record 6
A plane-wave DFT calculation with PBE was carried out for KSbCl6 after structural relaxation.

Cell and atoms, written as POSCAR:
```
KSbCl6
1.0
-6.217 -3.330 0.625
-0.508 -4.299 -5.603
4.795 -8.306 5.688
Cl Sb K
12 2 2
Direct
0.808 0.842 0.006
0.470 0.861 0.308
0.404 0.736 0.600
0.158 0.192 0.494
0.139 0.530 0.192
0.192 0.158 0.994
0.530 0.139 0.692
0.264 0.596 0.900
0.596 0.264 0.400
0.736 0.404 0.100
0.842 0.808 0.506
0.861 0.470 0.808
0.000 0.500 0.000
0.500 0.000 0.500
0.991 0.009 0.250
0.009 0.991 0.750
```

Calculated values
- Raw total energy: -49.40 eV for the cell shown
- Uncorrected formation energy: -1.050 eV per atom
- Space-group type: C2/c
- Density of states at the Fermi level: 0.00 states/eV per cell